Here is a relaxed structure of AcTbDy2Y5 from Alexandria via LeMat-Bulk. Energies are from PBE-GGA.

CIF file:
```
data_AcTbDy2Y5
_chemical_formula_sum 'Ac4 Tb4 Dy8 Y20'
_cell_length_a 5.5681
_cell_length_b 23.8551
_cell_length_c 9.3748
_cell_angle_alpha 90.00
_cell_angle_beta 90.00
_cell_angle_gamma 90.00
_symmetry_space_group_name_H-M 'C m c 21'
_symmetry_Int_Tables_number 36
_symmetry_space_group_name_Hall 'C 2c -2'
loop_
_atom_site_label
_atom_site_type_symbol
_atom_site_fract_x
_atom_site_fract_y
_atom_site_fract_z
_atom_site_occupancy
Ac1 Ac 0.0000 0.1026 0.0000 1
Tb1 Tb 0.0000 0.2604 0.6086 1
Dy1 Dy 0.0000 0.3306 0.2495 1
Dy2 Dy 0.0000 0.3865 0.8535 1
Y1 Y 0.0000 0.0245 0.3184 1
Y2 Y 0.0000 0.1041 0.6011 1
Y3 Y 0.0000 0.1910 0.2981 1
Y4 Y 0.0000 0.2427 0.9372 1
Y5 Y 0.0000 0.4923 0.0911 1
```

Computed properties:
Energy of formation from the pure elements   159 meV per atom
N(E_F)   1.427 states/eV per atom
Total magnetic moment   0.00 μB/atom